(1)
HRuS2N PBE optimized geometry; electronic total energy = -4.768 eV per atom
1.0
4.797 0.000 0.000
0.000 4.797 0.000
0.000 0.000 3.655
S H Ru N
2 1 1 1
direct
0.500 0.000 0.000 S
0.000 0.500 0.000 S
0.500 0.500 0.500 H
0.000 0.000 0.000 Ru
0.000 0.000 0.500 N

=====

(2)
Sm7Zn4Hg PBE optimized geometry; calculated formation energy = -0.131 eV/atom
1.0
5.754 0.000 0.000
2.877 8.331 1.228
2.877 1.352 6.971
Sm Zn Hg
7 4 1
direct
0.180 0.123 0.517 Sm
0.076 0.597 0.251 Sm
0.820 0.877 0.483 Sm
0.720 0.320 0.240 Sm
0.924 0.403 0.749 Sm
0.280 0.680 0.760 Sm
0.500 0.000 0.000 Sm
0.689 0.666 0.956 Zn
0.488 0.667 0.357 Zn
0.311 0.334 0.044 Zn
0.512 0.333 0.643 Zn
0.000 0.000 0.000 Hg

=====

(3)
CuGePt5 PBE optimized geometry; calculated formation energy = -0.098 eV/atom
1.0
-0.766 3.330 6.572
4.575 -3.246 4.837
5.293 2.873 5.405
Ge Pt Cu
2 10 2
direct
0.540 0.460 0.250 Ge
0.460 0.540 0.750 Ge
0.203 0.530 0.629 Pt
0.891 0.680 0.512 Pt
0.109 0.320 0.488 Pt
0.815 0.185 0.250 Pt
0.185 0.815 0.750 Pt
0.797 0.470 0.371 Pt
0.680 0.891 0.012 Pt
0.320 0.109 0.988 Pt
0.530 0.203 0.129 Pt
0.470 0.797 0.871 Pt
0.000 0.000 0.500 Cu
0.000 0.000 0.000 Cu

=====

(4)
Ac4Tl3Cd PBE optimized geometry; calculated formation energy = -0.305 eV/atom
1.0
4.890 0.000 0.000
0.000 4.816 0.000
0.000 0.000 12.423
Ac Tl Cd
4 3 1
direct
0.500 0.500 0.361 Ac
0.000 0.500 0.863 Ac
0.500 0.000 0.640 Ac
0.000 0.000 0.139 Ac
0.000 0.500 0.583 Tl
0.500 0.000 0.919 Tl
0.000 0.000 0.418 Tl
0.500 0.500 0.077 Cd

=====

(5)
La8NiOs2 PBE optimized geometry; calculated formation energy = -0.083 eV/atom
1.0
-5.852 -2.796 -0.862
4.439 -4.342 -4.684
1.128 -1.199 7.601
La Ni Os
8 1 2
direct
0.363 0.917 0.652 La
0.181 0.349 0.349 La
0.363 0.652 0.917 La
0.595 0.091 0.361 La
0.992 0.199 0.791 La
0.595 0.361 0.091 La
0.780 0.651 0.651 La
0.992 0.791 0.199 La
0.188 0.010 0.010 Ni
0.476 0.697 0.317 Os
0.476 0.317 0.697 Os

=====

(6)
RbNa2Dy PBE optimized geometry; calculated formation energy = 0.395 eV/atom
1.0
3.708 0.000 0.000
1.854 3.211 0.000
1.854 1.070 14.501
Na Dy Rb
2 1 1
direct
0.079 0.079 0.763 Na
0.921 0.921 0.237 Na
0.000 0.000 0.000 Dy
0.500 0.500 0.500 Rb

=====

| no. | density of states at the Fermi level (states/eV/f.u.) |
| --- | --- |
| 1 | 4.05 |
| 2 | 11.50 |
| 3 | 5.32 |
| 4 | 10.33 |
| 5 | 10.70 |
| 6 | 4.18 |